Density functional theory data (PBE with a Hubbard U) for crystalline NpMnCoO6 at its relaxed geometry.

Cell lengths 5.1130, 5.1130, 9.4424 Å; angles 90.00, 90.00, 120.00 degrees
Fractional coordinates of all 18 atoms:
Np 0.3333 0.6667 0.2500
Np 0.6667 0.3333 0.7500
Mn 0.0000 0.0000 0.0000
Mn 0.0000 0.0000 0.5000
Co 0.3333 0.6667 0.7500
Co 0.6667 0.3333 0.2500
O 0.0158 0.3575 0.6359
O 0.0158 0.6583 0.8641
O 0.3417 0.3575 0.8641
O 0.3417 0.9842 0.6359
O 0.3575 0.0158 0.1359
O 0.3575 0.3417 0.3641
O 0.6425 0.6583 0.6359
O 0.6425 0.9842 0.8641
O 0.6583 0.0158 0.3641
O 0.6583 0.6425 0.1359
O 0.9842 0.3417 0.1359
O 0.9842 0.6425 0.3641

## Properties
The space-group type is No. 163. The density of states at the Fermi level comes out at 4.2 states/eV/cell. The calculation puts the calculated density at 6.942 g/cm³. For the total DFT energy (no corrections), the calculation gives -8.016 eV/atom. The value obtained for the magnetic moment is 0.56 μB per atom.